A | A relaxed structure of Pr3Al2Ag3, computed with PBE.

Calculated values
Theoretical density   6.7 g/cm³
SG   Cmcm (63)

abc: 6.019 6.019 15.341
angles: 90.00 90.00 134.45
Sites, in units of the cell vectors:
Pr: 0.092 0.908 0.606
Pr: 0.092 0.908 0.894
Pr: 0.395 0.605 0.750
Pr: 0.605 0.395 0.250
Pr: 0.908 0.092 0.106
Pr: 0.908 0.092 0.394
Al: 0.202 0.798 0.098
Al: 0.202 0.798 0.402
Al: 0.798 0.202 0.598
Al: 0.798 0.202 0.902
Ag: 0.318 0.682 0.250
Ag: 0.381 0.619 0.540
Ag: 0.381 0.619 0.960
Ag: 0.619 0.381 0.040
Ag: 0.619 0.381 0.460
Ag: 0.682 0.318 0.750

***

B | A relaxed structure of Pr3Al2Ag3, computed with PBE.

Calculated values
Theoretical density   6.7 g/cm³
SG   Pnma (62)

abc: 8.568 15.810 5.894
angles: 90.00 90.00 90.00
Sites, in units of the cell vectors:
Pr: 0.050 0.106 0.132
Pr: 0.050 0.394 0.132
Pr: 0.187 0.250 0.621
Pr: 0.313 0.750 0.121
Pr: 0.450 0.606 0.632
Pr: 0.450 0.894 0.632
Pr: 0.550 0.106 0.368
Pr: 0.550 0.394 0.368
Pr: 0.687 0.250 0.879
Pr: 0.813 0.750 0.379
Pr: 0.950 0.606 0.868
Pr: 0.950 0.894 0.868
Al: 0.101 0.603 0.370
Al: 0.101 0.897 0.370
Al: 0.399 0.103 0.870
Al: 0.399 0.397 0.870
Al: 0.601 0.603 0.130
Al: 0.601 0.897 0.130
Al: 0.899 0.103 0.630
Al: 0.899 0.397 0.630
Ag: 0.164 0.750 0.610
Ag: 0.186 0.037 0.614
Ag: 0.186 0.463 0.614
Ag: 0.314 0.537 0.114
Ag: 0.314 0.963 0.114
Ag: 0.336 0.250 0.110
Ag: 0.664 0.750 0.890
Ag: 0.686 0.037 0.886
Ag: 0.686 0.463 0.886
Ag: 0.814 0.537 0.386
Ag: 0.814 0.963 0.386
Ag: 0.836 0.250 0.390

***

Most stable: A

***

A | A relaxed structure of Pr2Al3Ag, computed with PBE.

Calculated values
Theoretical density   5.9 g/cm³
SG   P6_3/mmc (194)

abc: 5.802 5.802 9.058
angles: 90.00 90.00 120.00
Sites, in units of the cell vectors:
Pr: 0.333 0.667 0.076
Pr: 0.333 0.667 0.424
Pr: 0.667 0.333 0.576
Pr: 0.667 0.333 0.924
Al: 0.171 0.341 0.750
Al: 0.171 0.829 0.750
Al: 0.341 0.171 0.250
Al: 0.659 0.829 0.750
Al: 0.829 0.171 0.250
Al: 0.829 0.659 0.250
Ag: 0.000 0.000 0.000
Ag: 0.000 0.000 0.500

***

B | A relaxed structure of Pr2Al3Ag, computed with PBE.

Calculated values
Theoretical density   5.4 g/cm³
SG   Fmmm (69)

abc: 9.288 8.925 6.037
angles: 73.93 67.42 38.65
Sites, in units of the cell vectors:
Pr: 0.242 0.758 0.758
Pr: 0.250 0.250 0.250
Pr: 0.750 0.750 0.750
Pr: 0.758 0.242 0.242
Al: 0.170 0.664 0.336
Al: 0.335 0.335 0.665
Al: 0.336 0.830 0.170
Al: 0.664 0.170 0.830
Al: 0.665 0.665 0.335
Al: 0.830 0.336 0.664
Ag: 0.168 0.168 0.832
Ag: 0.832 0.832 0.168

***

C | A relaxed structure of Pr2Al3Ag, computed with PBE.

Calculated values
Theoretical density   5.5 g/cm³
SG   Pmm2 (25)

abc: 3.794 4.654 8.089
angles: 90.00 90.00 90.00
Sites, in units of the cell vectors:
Pr: 0.000 0.000 0.000
Pr: 0.000 0.500 0.492
Al: 0.500 0.000 0.330
Al: 0.500 0.500 0.161
Al: 0.500 0.500 0.830
Ag: 0.500 0.000 0.665

***

Most stable: A

***

A | A relaxed structure of PrAlAg4, computed with PBE.

Calculated values
Theoretical density   8.0 g/cm³
SG   C2/m (12)

abc: 10.286 10.286 5.317
angles: 104.87 104.87 27.23
Sites, in units of the cell vectors:
Pr: 0.250 0.250 0.227
Pr: 0.750 0.750 0.773
Al: 0.000 0.000 0.500
Al: 0.500 0.500 0.000
Ag: 0.073 0.073 0.000
Ag: 0.143 0.143 0.569
Ag: 0.357 0.357 0.784
Ag: 0.427 0.427 0.354
Ag: 0.573 0.573 0.646
Ag: 0.643 0.643 0.216
Ag: 0.857 0.857 0.431
Ag: 0.927 0.927 0.000

***

B | A relaxed structure of PrAlAg4, computed with PBE.

Calculated values
Theoretical density   8.0 g/cm³
SG   F-43m (216)

abc: 5.609 5.609 5.609
angles: 60.00 60.00 60.00
Sites, in units of the cell vectors:
Pr: 0.000 0.000 0.000
Al: 0.750 0.750 0.750
Ag: 0.375 0.375 0.375
Ag: 0.375 0.375 0.874
Ag: 0.375 0.874 0.375
Ag: 0.874 0.375 0.375

***

Most stable: B

***

A | A relaxed structure of PrAl4Ag, computed with PBE.

Calculated values
Theoretical density   4.9 g/cm³
SG   F-43m (216)

abc: 5.569 5.569 5.569
angles: 60.00 60.00 60.00
Sites, in units of the cell vectors:
Pr: 0.000 0.000 0.000
Al: 0.374 0.374 0.374
Al: 0.374 0.374 0.877
Al: 0.374 0.877 0.374
Al: 0.877 0.374 0.374
Ag: 0.750 0.750 0.750

***

B | A relaxed structure of PrAl4Ag, computed with PBE.

Calculated values
Theoretical density   4.8 g/cm³
SG   C2/m (12)

abc: 6.255 6.255 7.206
angles: 107.03 107.03 68.08
Sites, in units of the cell vectors:
Pr: 0.161 0.161 0.279
Pr: 0.839 0.839 0.721
Al: 0.160 0.160 0.755
Al: 0.193 0.578 0.061
Al: 0.286 0.714 0.500
Al: 0.422 0.807 0.939
Al: 0.578 0.193 0.061
Al: 0.714 0.286 0.500
Al: 0.807 0.422 0.939
Al: 0.840 0.840 0.245
Ag: 0.393 0.393 0.708
Ag: 0.607 0.607 0.292

***

Most stable: B